No. 1
Here is PaAsIrS after structural relaxation from the Alexandria database. Energies are from PBE-GGA.

Output
Formation energy without anion corrections in eV/f.u.: -3.969
Density of states at the Fermi level in states/eV per atom: 0.697

Lattice parameters (Å, degrees): 4.146 4.146 8.582 90.00 90.00 90.00
Fractional coordinates of all 8 atoms:
As1 0.500 0.000 0.180
As2 0.000 0.500 0.820
Pa1 0.000 0.500 0.286
Pa2 0.500 0.000 0.714
Ir1 0.000 0.000 0.000
Ir2 0.500 0.500 0.000
S1 0.500 0.500 0.500
S2 0.000 0.000 0.500


No. 2
Here is Pa4As2IrS after structural relaxation from the Alexandria database. Energies are from PBE-GGA.

Output
Formation energy without anion corrections in eV/f.u.: -8.747
Density of states at the Fermi level in states/eV per atom: 1.542

Lattice parameters (Å, degrees): 3.920 7.135 7.037 71.33 90.00 90.00
Fractional coordinates of all 8 atoms:
Pa1 0.500 0.264 0.743
Pa2 0.000 0.267 0.241
Pa3 0.500 0.736 0.257
Pa4 0.000 0.733 0.759
Ir1 0.500 0.500 0.000
As1 0.500 0.000 0.500
As2 0.000 0.000 0.000
S1 0.000 0.500 0.500


No. 3
Here is Pa4AsIrSe2 after structural relaxation from the Alexandria database. Energies are from PBE-GGA.

Output
Formation energy without anion corrections in eV/f.u.: -8.491
Density of states at the Fermi level in states/eV per atom: 1.662

Lattice parameters (Å, degrees): 3.948 7.133 7.214 71.64 90.00 90.00
Fractional coordinates of all 8 atoms:
Se1 0.500 0.000 0.500
Se2 0.000 0.000 0.000
Pa1 0.000 0.269 0.233
Pa2 0.000 0.731 0.767
Pa3 0.500 0.744 0.246
Pa4 0.500 0.256 0.754
Ir1 0.500 0.500 0.000
As1 0.000 0.500 0.500


No. 4
Here is AsIrPb2 after structural relaxation from the Alexandria database. Energies are from PBE-GGA.

Output
Formation enthalpy at 0 K in eV/atom: 0.15
E above lowest polymorph in eV per atom: 0.204
Density of states at the Fermi level in states/eV per atom: 0.522

Lattice parameters (Å, degrees): 7.075 7.075 7.075 151.01 144.46 46.50
Fractional coordinates of all 4 atoms:
As1 0.431 0.431 0.000
Pb1 0.730 0.230 0.500
Pb2 0.033 0.033 0.000
Ir1 0.305 0.805 0.500


No. 5
Here is As3IrPb after structural relaxation from the Alexandria database. Energies are from PBE-GGA.

Output
Formation enthalpy at 0 K in eV/atom: 0.47
E above lowest polymorph in eV per atom: 0.000
Density of states at the Fermi level in states/eV per atom: 1.362

Lattice parameters (Å, degrees): 4.936 4.936 4.936 90.00 90.00 90.00
Fractional coordinates of all 5 atoms:
Ir1 0.000 0.000 0.000
Pb1 0.500 0.500 0.500
As1 0.500 0.000 0.000
As2 0.000 0.500 0.000
As3 0.000 0.000 0.500


No. 6
Here is AsIrPb2 after structural relaxation from the Alexandria database. Energies are from PBE-GGA.

Output
Formation enthalpy at 0 K in eV/atom: 0.50
E above lowest polymorph in eV per atom: 0.553
Density of states at the Fermi level in states/eV per atom: 0.690

Lattice parameters (Å, degrees): 6.375 6.375 7.698 65.54 65.54 90.00
Fractional coordinates of all 8 atoms:
Pb1 0.875 0.898 0.750
Pb2 0.375 0.352 0.750
Pb3 0.102 0.625 0.250
Pb4 0.648 0.125 0.250
As1 0.500 0.500 0.000
As2 0.250 0.750 0.500
Ir1 0.750 0.250 0.500
Ir2 0.000 0.000 0.000


No. 7
Here is AsIrPb2 after structural relaxation from the Alexandria database. Energies are from PBE-GGA.

Output
Formation enthalpy at 0 K in eV/atom: 0.49
E above lowest polymorph in eV per atom: 0.543
Density of states at the Fermi level in states/eV per atom: 0.682

Lattice parameters (Å, degrees): 4.836 4.628 4.028 90.00 90.00 90.00
Fractional coordinates of all 4 atoms:
Pb1 0.000 0.000 0.000
Pb2 0.500 0.500 0.000
Ir1 0.000 0.500 0.500
As1 0.500 0.000 0.500


No. 8
Here is AsIrPb2 after structural relaxation from the Alexandria database. Energies are from PBE-GGA.

Output
Formation enthalpy at 0 K in eV/atom: 0.48
E above lowest polymorph in eV per atom: 0.530
Density of states at the Fermi level in states/eV per atom: 0.660

Lattice parameters (Å, degrees): 5.172 5.172 3.388 89.88 89.88 100.96
Fractional coordinates of all 4 atoms:
Pb1 0.500 0.500 0.000
Pb2 0.000 0.000 0.000
As1 0.500 0.000 0.500
Ir1 0.000 0.500 0.500


- What is the formula in the second record?
  Pa4As2IrS